P) Computed, not measured: MnW3S after structural relaxation at the PBE-GGA level of DFT.

Unit cell a=4.3652 b=4.3652 c=4.3652 alpha=90.00 beta=90.00 gamma=90.00
Closest atoms and distances in Å follow each position.
Sites, in units of the cell vectors:
Mn (0.0000, 0.0000, 0.0000)  12 W 3.09
W (0.0000, 0.5000, 0.5000)  2 S 2.18
W (0.5000, 0.0000, 0.5000)  2 S 2.18
W (0.5000, 0.5000, 0.0000)  2 S 2.18
S (0.5000, 0.5000, 0.5000)  6 W 2.18

Calculated values
DOS at the Fermi energy	8.426	states/eV/f.u.


Q) Computed, not measured: MnW3S after structural relaxation at the PBE-GGA level of DFT.

Unit cell a=4.4961 b=4.4961 c=4.4961 alpha=90.00 beta=90.00 gamma=90.00
Closest atoms and distances in Å follow each position.
Sites, in units of the cell vectors:
Mn (0.0000, 0.0000, 0.0000)  6 W 2.25
W (0.0000, 0.0000, 0.5000)  2 Mn 2.25
W (0.0000, 0.5000, 0.0000)  2 Mn 2.25
W (0.5000, 0.0000, 0.0000)  2 Mn 2.25
S (0.5000, 0.5000, 0.5000)  12 W 3.18

Calculated values
DOS at the Fermi energy	5.953	states/eV/f.u.


Which of them is the least stable? Correct choice: Q).


P) Computed, not measured: Mn4ZnS8 after structural relaxation at the PBE-GGA level of DFT.

Unit cell a=7.0153 b=7.0153 c=7.0153 alpha=58.78 beta=58.78 gamma=58.78
Closest atoms and distances in Å follow each position.
Sites, in units of the cell vectors:
Mn (0.0000, 0.0000, 0.0000)  6 S 2.44
Mn (0.0000, 0.0000, 0.5000)  6 S 2.35-2.36
Mn (0.0000, 0.5000, 0.0000)  6 S 2.35-2.36
Mn (0.5000, 0.0000, 0.0000)  6 S 2.35-2.36
Zn (0.5000, 0.5000, 0.5000)  6 S 2.48
S (0.2265, 0.7522, 0.7522)  3 Mn 2.35-2.44, 1 Zn 2.48
S (0.2400, 0.2400, 0.2400)  3 Mn 2.36
S (0.2478, 0.2478, 0.7735)  3 Mn 2.35-2.44, 1 Zn 2.48
S (0.2478, 0.7735, 0.2478)  3 Mn 2.35-2.44, 1 Zn 2.48
S (0.7522, 0.2265, 0.7522)  3 Mn 2.35-2.44, 1 Zn 2.48
S (0.7522, 0.7522, 0.2265)  3 Mn 2.35-2.44, 1 Zn 2.48
S (0.7600, 0.7600, 0.7600)  3 Mn 2.36
S (0.7735, 0.2478, 0.2478)  3 Mn 2.35-2.44, 1 Zn 2.48

Calculated values
DOS at the Fermi energy	5.408	states/eV/f.u.


Q) Computed, not measured: Mn4ZnS8 after structural relaxation at the PBE-GGA level of DFT.

Unit cell a=7.2587 b=7.2587 c=7.2587 alpha=55.05 beta=55.05 gamma=55.05
Closest atoms and distances in Å follow each position.
Sites, in units of the cell vectors:
Mn (0.0000, 0.0000, 0.0000)  6 S 2.40
Mn (0.0000, 0.5000, 0.5000)  6 S 2.33-2.34
Mn (0.5000, 0.0000, 0.5000)  6 S 2.33-2.34
Mn (0.5000, 0.5000, 0.0000)  6 S 2.33-2.34
Zn (0.5000, 0.5000, 0.5000)  6 S 2.55
S (0.2443, 0.2443, 0.7300)  3 Mn 2.33-2.40, 1 Zn 2.55
S (0.2443, 0.7300, 0.2443)  3 Mn 2.33-2.40, 1 Zn 2.55
S (0.2620, 0.2620, 0.2620)  3 Mn 2.34
S (0.2700, 0.7557, 0.7557)  3 Mn 2.33-2.40, 1 Zn 2.55
S (0.7300, 0.2443, 0.2443)  3 Mn 2.33-2.40, 1 Zn 2.55
S (0.7380, 0.7380, 0.7380)  3 Mn 2.34
S (0.7557, 0.2700, 0.7557)  3 Mn 2.33-2.40, 1 Zn 2.55
S (0.7557, 0.7557, 0.2700)  3 Mn 2.33-2.40, 1 Zn 2.55

Calculated values
DOS at the Fermi energy	5.000	states/eV/f.u.


Which of them is the least stable? Correct choice: P).


P) Computed, not measured: MnZn3S after structural relaxation at the PBE-GGA level of DFT.

Unit cell a=4.7839 b=4.7839 c=4.7839 alpha=90.00 beta=90.00 gamma=90.00
Closest atoms and distances in Å follow each position.
Sites, in units of the cell vectors:
Mn (0.0000, 0.0000, 0.0000)  6 Zn 2.39
Zn (0.0000, 0.0000, 0.5000)  2 Mn 2.39
Zn (0.0000, 0.5000, 0.0000)  2 Mn 2.39
Zn (0.5000, 0.0000, 0.0000)  2 Mn 2.39
S (0.5000, 0.5000, 0.5000)  12 Zn 3.38

Calculated values
DOS at the Fermi energy	3.378	states/eV/f.u.


Q) Computed, not measured: MnZn3S after structural relaxation at the PBE-GGA level of DFT.

Unit cell a=4.7003 b=4.7003 c=4.7003 alpha=90.00 beta=90.00 gamma=90.00
Closest atoms and distances in Å follow each position.
Sites, in units of the cell vectors:
Mn (0.0000, 0.0000, 0.0000)  12 Zn 3.32
Zn (0.0000, 0.5000, 0.5000)  2 S 2.35
Zn (0.5000, 0.0000, 0.5000)  2 S 2.35
Zn (0.5000, 0.5000, 0.0000)  2 S 2.35
S (0.5000, 0.5000, 0.5000)  6 Zn 2.35

Calculated values
DOS at the Fermi energy	3.203	states/eV/f.u.


Which of them is the least stable? Correct choice: P).


P) Computed, not measured: MnZnS3 after structural relaxation at the PBE-GGA level of DFT.

Unit cell a=4.4495 b=4.4495 c=4.4495 alpha=90.00 beta=90.00 gamma=90.00
Closest atoms and distances in Å follow each position.
Sites, in units of the cell vectors:
Mn (0.0000, 0.0000, 0.0000)  6 S 2.22
Zn (0.5000, 0.5000, 0.5000)  12 S 3.15
S (0.0000, 0.0000, 0.5000)  2 Mn 2.22
S (0.0000, 0.5000, 0.0000)  2 Mn 2.22
S (0.5000, 0.0000, 0.0000)  2 Mn 2.22

Calculated values
DOS at the Fermi energy	8.342	states/eV/f.u.


Q) Computed, not measured: MnZnS3 after structural relaxation at the PBE-GGA level of DFT.

Unit cell a=4.5830 b=4.5830 c=4.5830 alpha=90.00 beta=90.00 gamma=90.00
Closest atoms and distances in Å follow each position.
Sites, in units of the cell vectors:
Mn (0.0000, 0.0000, 0.0000)  12 S 3.24
Zn (0.5000, 0.5000, 0.5000)  6 S 2.29
S (0.0000, 0.5000, 0.5000)  2 Zn 2.29
S (0.5000, 0.0000, 0.5000)  2 Zn 2.29
S (0.5000, 0.5000, 0.0000)  2 Zn 2.29

Calculated values
DOS at the Fermi energy	9.065	states/eV/f.u.


Which of them is the least stable? Correct choice: Q).


P) Computed, not measured: ZrMn3S after structural relaxation at the PBE-GGA level of DFT.

Unit cell a=4.1281 b=4.1281 c=4.1281 alpha=90.00 beta=90.00 gamma=90.00
Closest atoms and distances in Å follow each position.
Sites, in units of the cell vectors:
Zr (0.0000, 0.0000, 0.0000)  12 Mn 2.92
Mn (0.0000, 0.5000, 0.5000)  2 S 2.06
Mn (0.5000, 0.0000, 0.5000)  2 S 2.06
Mn (0.5000, 0.5000, 0.0000)  2 S 2.06
S (0.5000, 0.5000, 0.5000)  6 Mn 2.06

Calculated values
DOS at the Fermi energy	4.453	states/eV/f.u.


Q) Computed, not measured: ZrMn3S after structural relaxation at the PBE-GGA level of DFT.

Unit cell a=4.8314 b=4.8314 c=4.8314 alpha=90.00 beta=90.00 gamma=90.00
Closest atoms and distances in Å follow each position.
Sites, in units of the cell vectors:
Zr (0.0000, 0.0000, 0.0000)  6 Mn 2.42
Mn (0.0000, 0.0000, 0.5000)  2 Zr 2.42
Mn (0.0000, 0.5000, 0.0000)  2 Zr 2.42
Mn (0.5000, 0.0000, 0.0000)  2 Zr 2.42
S (0.5000, 0.5000, 0.5000)  12 Mn 3.42

Calculated values
DOS at the Fermi energy	7.306	states/eV/f.u.


Which of them is the least stable? Correct choice: Q).


P) Computed, not measured: Zr3MnS6 after structural relaxation at the PBE-GGA level of DFT.

Unit cell a=8.0224 b=8.0224 c=6.2048 alpha=90.00 beta=90.00 gamma=101.20
Closest atoms and distances in Å follow each position.
Sites, in units of the cell vectors:
Zr (0.0961, 0.9039, 0.5000)  7 S 2.60-2.75
Zr (0.2295, 0.4251, 0.3862)  7 S 2.59-2.76
Zr (0.4251, 0.2295, 0.8862)  7 S 2.59-2.76
Zr (0.5749, 0.7705, 0.3862)  7 S 2.59-2.76
Zr (0.7705, 0.5749, 0.8862)  7 S 2.59-2.76
Zr (0.9039, 0.0961, 0.0000)  7 S 2.60-2.75
Mn (0.2962, 0.7038, 0.8574)  4 S 2.32-2.34
Mn (0.7038, 0.2962, 0.3574)  4 S 2.32-2.34
S (0.0511, 0.5986, 0.6581)  1 Mn 2.34, 1 Zr 2.60
S (0.1263, 0.2019, 0.6950)  4 Zr 2.63-2.65
S (0.2019, 0.1263, 0.1950)  4 Zr 2.63-2.65
S (0.2711, 0.7289, 0.2284)  1 Mn 2.32, 2 Zr 2.59
S (0.4014, 0.9489, 0.6581)  1 Mn 2.34, 1 Zr 2.60
S (0.4658, 0.5342, 0.6973)  1 Mn 2.33
S (0.5342, 0.4658, 0.1973)  1 Mn 2.33
S (0.5986, 0.0511, 0.1581)  1 Mn 2.34, 1 Zr 2.60
S (0.7289, 0.2711, 0.7284)  1 Mn 2.32, 2 Zr 2.59
S (0.7981, 0.8737, 0.6950)  4 Zr 2.63-2.65
S (0.8737, 0.7981, 0.1950)  4 Zr 2.63-2.65
S (0.9489, 0.4014, 0.1581)  1 Mn 2.34, 1 Zr 2.60

Calculated values
DOS at the Fermi energy	3.583	states/eV/f.u.


Q) Computed, not measured: Zr3MnS6 after structural relaxation at the PBE-GGA level of DFT.

Unit cell a=7.4626 b=7.4626 c=7.4626 alpha=88.66 beta=88.66 gamma=88.66
Closest atoms and distances in Å follow each position.
Sites, in units of the cell vectors:
Zr (0.0738, 0.5813, 0.2177)  6 S 2.52-2.79
Zr (0.2177, 0.0738, 0.5813)  6 S 2.52-2.79
Zr (0.4187, 0.7823, 0.9262)  6 S 2.52-2.79
Zr (0.5813, 0.2177, 0.0738)  6 S 2.52-2.79
Zr (0.7823, 0.9262, 0.4187)  6 S 2.52-2.79
Zr (0.9262, 0.4187, 0.7823)  6 S 2.52-2.79
Mn (0.0000, 0.0000, 0.0000)  6 S 2.51
Mn (0.5000, 0.5000, 0.5000)  6 S 2.51
S (0.0855, 0.6950, 0.8853)  1 Mn 2.51, 3 Zr 2.55-2.61
S (0.1147, 0.9145, 0.3050)  1 Mn 2.51, 3 Zr 2.55-2.61
S (0.1800, 0.4079, 0.5346)  1 Mn 2.51, 3 Zr 2.52-2.79
S (0.3050, 0.1147, 0.9145)  1 Mn 2.51, 3 Zr 2.55-2.61
S (0.4079, 0.5346, 0.1800)  1 Mn 2.51, 3 Zr 2.52-2.79
S (0.4654, 0.8200, 0.5921)  1 Mn 2.51, 3 Zr 2.52-2.79
S (0.5346, 0.1800, 0.4079)  1 Mn 2.51, 3 Zr 2.52-2.79
S (0.5921, 0.4654, 0.8200)  1 Mn 2.51, 3 Zr 2.52-2.79
S (0.6950, 0.8853, 0.0855)  1 Mn 2.51, 3 Zr 2.55-2.61
S (0.8200, 0.5921, 0.4654)  1 Mn 2.51, 3 Zr 2.52-2.79
S (0.8853, 0.0855, 0.6950)  1 Mn 2.51, 3 Zr 2.55-2.61
S (0.9145, 0.3050, 0.1147)  1 Mn 2.51, 3 Zr 2.55-2.61

Calculated values
DOS at the Fermi energy	3.670	states/eV/f.u.


Which of them is the least stable? Correct choice: Q).


P) Computed, not measured: MnSb3 after structural relaxation at the PBE-GGA level of DFT.

Unit cell a=5.8881 b=5.8881 c=5.8881 alpha=116.36 beta=116.36 gamma=116.36
Closest atoms and distances in Å follow each position.
Sites, in units of the cell vectors:
Mn (0.0000, 0.0000, 0.0000)  6 Sb 3.10, 2 Mn 3.41
Sb (0.0000, 0.5000, 0.5000)  6 Sb 3.10-3.41, 2 Mn 3.10
Sb (0.5000, 0.0000, 0.5000)  2 Mn 3.10, 6 Sb 3.10-3.41
Sb (0.5000, 0.5000, 0.0000)  6 Sb 3.10-3.41, 2 Mn 3.10

Calculated values
DOS at the Fermi energy	2.134	states/eV/f.u.


Q) Computed, not measured: MnSb3 after structural relaxation at the PBE-GGA level of DFT.

Unit cell a=5.1228 b=5.1228 c=3.8209 alpha=90.00 beta=90.00 gamma=100.93
Closest atoms and distances in Å follow each position.
Sites, in units of the cell vectors:
Mn (0.0000, 0.0000, 0.0000)  10 Sb 3.20-3.26
Sb (0.0000, 0.5000, 0.5000)  4 Mn 3.20, 6 Sb 3.20-3.26
Sb (0.5000, 0.0000, 0.5000)  4 Mn 3.20, 6 Sb 3.20-3.26
Sb (0.5000, 0.5000, 0.0000)  8 Sb 3.20, 2 Mn 3.26

Calculated values
DOS at the Fermi energy	2.587	states/eV/f.u.


Which of them is the least stable? Correct choice: P).


P) Computed, not measured: MnSb3 after structural relaxation at the PBE-GGA level of DFT.

Unit cell a=9.4378 b=9.4378 c=9.4378 alpha=20.94 beta=20.94 gamma=20.94
Closest atoms and distances in Å follow each position.
Sites, in units of the cell vectors:
Mn (0.0000, 0.0000, 0.0000)  6 Sb 2.68
Sb (0.2682, 0.2682, 0.2682)  3 Mn 2.68
Sb (0.5000, 0.5000, 0.5000)  12 Sb 3.43-3.44
Sb (0.7318, 0.7318, 0.7318)  3 Mn 2.68

Calculated values
DOS at the Fermi energy	2.150	states/eV/f.u.


Q) Computed, not measured: MnSb3 after structural relaxation at the PBE-GGA level of DFT.

Unit cell a=6.6631 b=8.6566 c=6.5501 alpha=90.00 beta=90.00 gamma=90.00
Closest atoms and distances in Å follow each position.
Sites, in units of the cell vectors:
Mn (0.1400, 0.2500, 0.0304)  8 Sb 2.73-3.00
Mn (0.3600, 0.7500, 0.5304)  8 Sb 2.73-3.00
Mn (0.6400, 0.2500, 0.4696)  8 Sb 2.73-3.00
Mn (0.8600, 0.7500, 0.9696)  8 Sb 2.73-3.00
Sb (0.0177, 0.2500, 0.6317)  2 Mn 2.73-2.74
Sb (0.1949, 0.5674, 0.8534)  3 Mn 2.84-3.00, 2 Sb 3.08-3.16
Sb (0.1949, 0.9326, 0.8534)  3 Mn 2.84-3.00, 2 Sb 3.08-3.16
Sb (0.3051, 0.0674, 0.3534)  3 Mn 2.84-3.00, 2 Sb 3.08-3.16
Sb (0.3051, 0.4326, 0.3534)  3 Mn 2.84-3.00, 2 Sb 3.08-3.16
Sb (0.4823, 0.7500, 0.1317)  2 Mn 2.73-2.74
Sb (0.5177, 0.2500, 0.8683)  2 Mn 2.73-2.74
Sb (0.6949, 0.5674, 0.6466)  3 Mn 2.84-3.00, 2 Sb 3.08-3.16
Sb (0.6949, 0.9326, 0.6466)  3 Mn 2.84-3.00, 2 Sb 3.08-3.16
Sb (0.8051, 0.0674, 0.1466)  3 Mn 2.84-3.00, 2 Sb 3.08-3.16
Sb (0.8051, 0.4326, 0.1466)  3 Mn 2.84-3.00, 2 Sb 3.08-3.16
Sb (0.9823, 0.7500, 0.3683)  2 Mn 2.73-2.74

Calculated values
DOS at the Fermi energy	2.098	states/eV/f.u.


Which of them is the least stable? Correct choice: P).